! PrErAg2 | Alexandria | GGA-PBE | optimized geometry; values from VASP
&SYSTEM
  ibrav = 0, nat = 4, ntyp = 3
/
ATOMIC_SPECIES
Pr 140.91 Pr.upf
Er 167.26 Er.upf
Ag 107.87 Ag.upf
ATOMIC_POSITIONS crystal
Pr 0.000 0.000 0.000
Er 0.000 0.000 0.500
Ag 0.500 0.500 0.276
Ag 0.500 0.500 0.724
CELL_PARAMETERS angstrom
3.643 0.000 0.000
0.000 3.643 0.000
0.000 0.000 7.573
! N(E_F) = 1.99 states/eV/cell
! DFT total energy = -4.057 eV/atom
! crystal system = tetragonal
! relative energy among the computed polymorphs = 0.0 meV/atom
! calculated volume = 25.1 A^3/atom